# LiTl2Ir

A geometry-optimized LiTl2Ir structure (PBE, Alexandria).

Computed properties:
- DOS(E_F) (states/eV/f.u.) = 3.13
- spin magnetization (μB per cell) = 0.2
- energy of formation from the pure elements (meV/atom) = 301
- space-group type = No. 160

Cell and atoms, written as POSCAR:
```
LiTl2Ir
1.0
1.594 0.920 9.474
-1.594 0.920 9.474
0.000 -1.840 9.474
Li Tl Ir
1 2 1
direct
0.000 0.000 0.000 Li
0.245 0.245 0.245 Tl
0.476 0.476 0.476 Tl
0.731 0.731 0.731 Ir
```